Record 1
Computed, not measured: a geometry-optimized ErMg3Al8 structure at the PBE-GGA level of DFT.

abc: 5.492 5.492 8.743
angles: 90.00 90.00 120.00
Fractional coordinates of all 12 atoms:
Er1 0.000 0.000 0.000
Mg1 0.000 0.000 0.374
Mg2 0.667 0.333 0.499
Mg3 0.667 0.333 0.866
Al1 0.162 0.325 0.685
Al2 0.162 0.838 0.685
Al3 0.333 0.667 0.440
Al4 0.333 0.667 0.935
Al5 0.504 0.008 0.184
Al6 0.504 0.496 0.184
Al7 0.675 0.838 0.685
Al8 0.992 0.496 0.184

## Properties
energy of formation from the pure elements	-173	kJ/mol of formula units
total moment	0.0	μB/f.u.

=====

Record 2
Computed, not measured: a geometry-optimized Li4EuPu structure at the PBE-GGA level of DFT.

abc: 6.027 6.027 6.027
angles: 60.00 60.00 60.00
Fractional coordinates of all 6 atoms:
Li1 0.125 0.125 0.125
Li2 0.125 0.125 0.625
Li3 0.125 0.625 0.125
Li4 0.625 0.125 0.125
Eu1 0.500 0.500 0.500
Pu1 0.750 0.750 0.750

## Properties
energy of formation from the pure elements	140	kJ/mol of formula units
total moment	0.1	μB/f.u.

=====

Record 3
Computed, not measured: a geometry-optimized SnTe2O structure at the PBE-GGA level of DFT.

abc: 5.812 5.812 13.797
angles: 90.00 90.00 90.00
Fractional coordinates of all 16 atoms:
Sn1 0.000 0.000 0.000
Sn2 0.000 0.500 0.250
Sn3 0.500 0.000 0.750
Sn4 0.500 0.500 0.500
Te1 0.110 0.250 0.625
Te2 0.250 0.610 0.875
Te3 0.250 0.890 0.375
Te4 0.390 0.250 0.125
Te5 0.610 0.750 0.125
Te6 0.750 0.110 0.375
Te7 0.750 0.390 0.875
Te8 0.890 0.750 0.625
O1 0.000 0.000 0.500
O2 0.000 0.500 0.750
O3 0.500 0.000 0.250
O4 0.500 0.500 0.000

## Properties
total moment	0.0	μB/f.u.
ΔE_f (raw)	-0.017	eV per atom

=====

Record 4
Computed, not measured: a geometry-optimized RbMg2Ru2 structure at the PBE-GGA level of DFT.

abc: 3.527 3.527 21.983
angles: 90.00 90.00 90.00
Fractional coordinates of all 10 atoms:
Rb1 0.000 0.000 0.000
Rb2 0.500 0.500 0.500
Mg1 0.000 0.000 0.351
Mg2 0.000 0.000 0.649
Mg3 0.500 0.500 0.149
Mg4 0.500 0.500 0.851
Ru1 0.000 0.500 0.250
Ru2 0.000 0.500 0.750
Ru3 0.500 0.000 0.250
Ru4 0.500 0.000 0.750

## Properties
energy of formation from the pure elements	238	kJ/mol of formula units
total moment	0.0	μB/f.u.

=====

Record 5
Computed, not measured: a geometry-optimized Mg3Zn4Pt4 structure at the PBE-GGA level of DFT.

abc: 6.525 6.525 6.525
angles: 109.47 109.47 109.47
Fractional coordinates of all 11 atoms:
Mg1 0.000 0.500 0.500
Mg2 0.500 0.000 0.500
Mg3 0.500 0.500 0.000
Zn1 0.000 0.000 0.748
Zn2 0.000 0.748 0.000
Zn3 0.252 0.252 0.252
Zn4 0.748 0.000 0.000
Pt1 0.000 0.000 0.385
Pt2 0.000 0.385 0.000
Pt3 0.385 0.000 0.000
Pt4 0.615 0.615 0.615

## Properties
energy of formation from the pure elements	-242	kJ/mol of formula units
total moment	0.0	μB/f.u.

=====

Record 6
Computed, not measured: a geometry-optimized SmAlCu3 structure at the PBE-GGA level of DFT.

abc: 6.494 6.494 6.494
angles: 134.51 98.28 98.91
Fractional coordinates of all 10 atoms:
Sm1 0.293 0.043 0.250
Sm2 0.707 0.957 0.750
Al1 0.000 0.500 0.500
Al2 0.500 0.500 0.000
Cu1 0.082 0.332 0.750
Cu2 0.239 0.000 0.739
Cu3 0.239 0.500 0.239
Cu4 0.761 0.000 0.261
Cu5 0.761 0.500 0.761
Cu6 0.918 0.668 0.250

## Properties
energy of formation from the pure elements	-96	kJ/mol of formula units
total moment	0.0	μB/f.u.